No. 1
Material: TaMoSeN2
Method: DFT, GGA-PBE
State: relaxed

The formation energy without anion corrections comes out at 0.554 eV/atom. As for the total magnetization: 3.39 μB per formula unit. Its polymorph energy (0 for the lowest one) is 0 meV/atom. The calculation puts the density of states at the Fermi level at 2.0 states/eV/cell. The total DFT energy (no corrections) is -8.010 eV/atom.

It has space group P4/mmm (No. 123), with a = 4.005 Å, b = 4.005 Å, c = 5.342 Å, α = 90.00°, β = 90.00° and γ = 90.00°. The inequivalent atoms are Ta at (0.000, 0.000, 0.000), Mo at (0.500, 0.500, 0.500), Se at (0.000, 0.000, 0.500) and N at (0.000, 0.500, 0.000).

No. 2
Material: Tb4PaN5
Method: DFT, GGA-PBE
State: relaxed

The formation energy without anion corrections comes out at -1.701 eV/atom. As for the total magnetization: 0.00 μB per formula unit. The calculation puts the density of states at the Fermi level at 7.0 states/eV/cell. The total DFT energy (no corrections) is -8.665 eV/atom.

It has space group I4/m (No. 87), with a = 7.812 Å, b = 7.812 Å, c = 4.944 Å, α = 90.00°, β = 90.00° and γ = 90.00°. The inequivalent atoms are Tb at (0.099, 0.698, 0.000), Pa at (0.000, 0.000, 0.500), N at (0.000, 0.000, 0.000) and N at (0.094, 0.714, 0.500).

No. 3
Material: OsSeN2F
Method: DFT, GGA-PBE
State: relaxed

The formation energy without anion corrections comes out at 1.942 eV/atom. As for the total magnetization: 2.38 μB per formula unit. Its polymorph energy (0 for the lowest one) is 1468 meV/atom. The calculation puts the density of states at the Fermi level at 4.7 states/eV/cell. The total DFT energy (no corrections) is -4.706 eV/atom.

It has space group P4/mmm (No. 123), with a = 4.018 Å, b = 4.018 Å, c = 3.804 Å, α = 90.00°, β = 90.00° and γ = 90.00°. The inequivalent atoms are Os at (0.000, 0.000, 0.000), Se at (0.500, 0.500, 0.500), N at (0.000, 0.500, 0.500) and F at (0.500, 0.500, 0.000).

No. 4
Material: ScAsI2
Method: DFT, GGA-PBE
State: relaxed

The formation energy without anion corrections comes out at -0.051 eV/atom. As for the total magnetization: 0.00 μB per formula unit. Its polymorph energy (0 for the lowest one) is 425 meV/atom. The calculation puts the density of states at the Fermi level at 14.1 states/eV/cell. The total DFT energy (no corrections) is -3.572 eV/atom.

It has space group Fm-3m (No. 225), with a = 7.427 Å, b = 7.427 Å, c = 7.427 Å, α = 90.00°, β = 90.00° and γ = 90.00°. The inequivalent atoms are Sc at (0.000, 0.000, 0.000), As at (0.000, 0.000, 0.500) and I at (0.250, 0.250, 0.250).

No. 5
Material: Pr8TmCd2
Method: DFT, GGA-PBE
State: relaxed

The value obtained for the energy of formation from the pure elements is 252 meV/atom. As for the total magnetization: 0.00 μB per formula unit. Its polymorph energy (0 for the lowest one) is 325 meV/atom. The calculation puts the density of states at the Fermi level at 30.8 states/eV/cell. The total DFT energy (no corrections) is -3.797 eV/atom.

It has space group C2/m (No. 12), with a = 14.163 Å, b = 11.225 Å, c = 5.254 Å, α = 90.00°, β = 100.66° and γ = 90.00°. The inequivalent atoms are Pr at (0.084, 0.000, 0.291), Pr at (0.104, 0.240, 0.784), Pr at (0.239, 0.500, 0.127), Tm at (0.000, 0.500, 0.000) and Cd at (0.114, 0.500, 0.547).

No. 6
Material: Li5Tl2In
Method: DFT, GGA-PBE
State: relaxed

The value obtained for the energy of formation from the pure elements is -239 meV/atom. As for the total magnetization: 0.00 μB per formula unit. Its polymorph energy (0 for the lowest one) is 0 meV/atom. The calculation puts the density of states at the Fermi level at 4.6 states/eV/cell. The total DFT energy (no corrections) is -2.369 eV/atom.

It has space group I4/mmm (No. 139), with a = 4.823 Å, b = 4.823 Å, c = 13.388 Å, α = 90.00°, β = 90.00° and γ = 90.00°. The inequivalent atoms are Li at (0.000, 0.000, 0.000), Li at (0.000, 0.500, 0.121), Tl at (0.000, 0.000, 0.246) and In at (0.000, 0.000, 0.500).

No. 7
Material: PrZrBeN3
Method: DFT, GGA-PBE
State: relaxed

The formation energy without anion corrections comes out at -1.323 eV/atom. As for the total magnetization: 0.00 μB per formula unit. The total DFT energy (no corrections) is -8.328 eV/atom.

It has space group P2_1/m (No. 11), with a = 6.928 Å, b = 3.286 Å, c = 7.049 Å, α = 90.00°, β = 103.61° and γ = 90.00°. The inequivalent atoms are Pr at (0.226, 0.250, 0.188), Zr at (0.170, 0.250, 0.662), Be at (0.400, 0.750, 0.922), N at (0.146, 0.750, 0.874), N at (0.165, 0.750, 0.439) and N at (0.482, 0.250, 0.836).

No. 8
Material: Zn2MoCl
Method: DFT, GGA-PBE
State: relaxed

The formation energy without anion corrections comes out at 0.157 eV/atom. As for the total magnetization: 0.00 μB per formula unit. Its polymorph energy (0 for the lowest one) is 77 meV/atom. The calculation puts the density of states at the Fermi level at 5.2 states/eV/cell. The total DFT energy (no corrections) is -3.649 eV/atom.

It has space group Cm (No. 8), with a = 10.342 Å, b = 2.856 Å, c = 4.888 Å, α = 90.00°, β = 106.02° and γ = 90.00°. The inequivalent atoms are Zn at (0.000, 0.000, 0.000), Zn at (0.190, 0.000, 0.620), Mo at (0.454, 0.000, 0.507) and Cl at (0.289, 0.500, 0.194).

No. 9
Material: Pr2Al4CdAg3
Method: DFT, GGA-PBE
State: relaxed

The value obtained for the energy of formation from the pure elements is -341 meV/atom. As for the total magnetization: 0.00 μB per formula unit. The calculation puts the density of states at the Fermi level at 5.2 states/eV/cell. The total DFT energy (no corrections) is -3.741 eV/atom.

It has space group P-4m2 (No. 115), with a = 4.437 Å, b = 4.437 Å, c = 10.932 Å, α = 90.00°, β = 90.00° and γ = 90.00°. The inequivalent atoms are Pr at (0.000, 0.500, 0.246), Al at (0.000, 0.000, 0.000), Al at (0.000, 0.500, 0.643), Al at (0.500, 0.500, 0.000), Cd at (0.000, 0.000, 0.500), Ag at (0.000, 0.500, 0.874) and Ag at (0.500, 0.500, 0.500).

No. 10
Material: Ca2LaPr6
Method: DFT, GGA-PBE
State: relaxed

The value obtained for the energy of formation from the pure elements is 164 meV/atom. As for the total magnetization: 0.00 μB per formula unit. The calculation puts the density of states at the Fermi level at 28.7 states/eV/cell. The total DFT energy (no corrections) is -4.015 eV/atom.

It has space group Immm (No. 71), with a = 3.492 Å, b = 10.991 Å, c = 17.690 Å, α = 90.00°, β = 90.00° and γ = 90.00°. The inequivalent atoms are Ca at (0.000, 0.000, 0.162), La at (0.000, 0.000, 0.500), Pr at (0.000, 0.184, 0.334) and Pr at (0.000, 0.200, 0.000).

No. 11
Material: SrLi2LaAs2
Method: DFT, GGA-PBE
State: relaxed

The value obtained for the energy of formation from the pure elements is -1023 meV/atom. As for the total magnetization: 0.00 μB per formula unit. The calculation puts the density of states at the Fermi level at 2.9 states/eV/cell. The total DFT energy (no corrections) is -4.312 eV/atom.

It has space group P-3m1 (No. 164), with a = 4.4148 Å, b = 4.4148 Å, c = 8.2552 Å, α = 90.00°, β = 90.00° and γ = 120.00°. The inequivalent atoms are Sr at (0.0000, 0.0000, 0.0000), Li at (0.3333, 0.6667, 0.7454), La at (0.0000, 0.0000, 0.5000) and As at (0.3333, 0.6667, 0.2585).

No. 12
Material: RbSc4F12
Method: DFT, GGA-PBE
State: relaxed

The formation energy without anion corrections comes out at -3.745 eV/atom. As for the total magnetization: 1.04 μB per formula unit. The calculation puts the density of states at the Fermi level at 10.7 states/eV/cell. The total DFT energy (no corrections) is -6.612 eV/atom.

It has space group Im-3m (No. 229), with a = 8.297 Å, b = 8.297 Å, c = 8.297 Å, α = 90.00°, β = 90.00° and γ = 90.00°. The inequivalent atoms are Rb at (0.000, 0.000, 0.000), Sc at (0.250, 0.250, 0.250) and F at (0.000, 0.246, 0.246).

No. 13
Material: SrZn3Rh
Method: DFT, GGA-PBE
State: relaxed

The value obtained for the energy of formation from the pure elements is -105 meV/atom. As for the total magnetization: 0.00 μB per formula unit. Its polymorph energy (0 for the lowest one) is 242 meV/atom. The calculation puts the density of states at the Fermi level at 10.6 states/eV/cell. The total DFT energy (no corrections) is -2.676 eV/atom.

It has space group Cmcm (No. 63), with a = 7.049 Å, b = 12.990 Å, c = 4.753 Å, α = 90.00°, β = 90.00° and γ = 90.00°. The inequivalent atoms are Sr at (0.000, 0.097, 0.250), Zn at (0.000, 0.500, 0.000), Zn at (0.169, 0.249, 0.750) and Rh at (0.000, 0.325, 0.250).

No. 14
Material: CrFeH
Method: DFT, GGA-PBE
State: relaxed

As for the total magnetization: 0.00 μB per formula unit. Its polymorph energy (0 for the lowest one) is 62 meV/atom. The calculation puts the density of states at the Fermi level at 4.9 states/eV/cell. The total DFT energy (no corrections) is -7.091 eV/atom.

It has space group P2_1/m (No. 11), with a = 4.478 Å, b = 2.541 Å, c = 4.501 Å, α = 90.00°, β = 109.78° and γ = 90.00°. The inequivalent atoms are Cr at (0.010, 0.250, 0.265), Fe at (0.492, 0.250, 0.732) and H at (0.262, 0.250, 0.001).

No. 15
Material: PuInS2
Method: DFT, GGA-PBE
State: relaxed

The formation energy without anion corrections comes out at -1.119 eV/atom. As for the total magnetization: 5.00 μB per formula unit. The calculation puts the density of states at the Fermi level at 25.0 states/eV/cell. The total DFT energy (no corrections) is -7.450 eV/atom.

It has space group R3m (No. 160, hexagonal axes), with a = 4.0489 Å, b = 4.0489 Å, c = 22.4529 Å, α = 90.00°, β = 90.00° and γ = 120.00°. The inequivalent atoms are Pu at (0.0000, 0.0000, 0.0000), In at (0.0000, 0.0000, 0.8276), S at (0.0000, 0.0000, 0.4004) and S at (0.0000, 0.0000, 0.6032).

No. 16
Material: Y3Zn7
Method: DFT, GGA-PBE
State: relaxed

The value obtained for the energy of formation from the pure elements is -291 meV/atom. As for the total magnetization: 0.00 μB per formula unit. The calculation puts the density of states at the Fermi level at 12.4 states/eV/cell. The total DFT energy (no corrections) is -3.122 eV/atom.

It has space group Cm (No. 8), with a = 14.776 Å, b = 4.430 Å, c = 6.250 Å, α = 90.00°, β = 101.78° and γ = 90.00°. The inequivalent atoms are Y at (0.000, 0.000, 0.000), Y at (0.126, 0.500, 0.422), Y at (0.374, 0.000, 0.577), Zn at (0.000, 0.000, 0.501), Zn at (0.127, 0.500, 0.924), Zn at (0.186, 0.000, 0.747), Zn at (0.205, 0.000, 0.192), Zn at (0.295, 0.500, 0.806), Zn at (0.314, 0.500, 0.252) and Zn at (0.372, 0.000, 0.074).

No. 17
Material: KSrHg2
Method: DFT, GGA-PBE
State: relaxed

The value obtained for the energy of formation from the pure elements is -166 meV/atom. As for the total magnetization: 0.00 μB per formula unit. The calculation puts the density of states at the Fermi level at 17.3 states/eV/cell. The total DFT energy (no corrections) is -1.012 eV/atom.

It has space group F-43m (No. 216), with a = 7.878 Å, b = 7.878 Å, c = 7.878 Å, α = 90.00°, β = 90.00° and γ = 90.00°. The inequivalent atoms are K at (0.000, 0.000, 0.000), Sr at (0.250, 0.250, 0.750), Hg at (0.000, 0.000, 0.500) and Hg at (0.250, 0.250, 0.250).

No. 18
Material: Y2Co
Method: DFT, GGA-PBE
State: relaxed

The value obtained for the energy of formation from the pure elements is -41 meV/atom. As for the total magnetization: 0.58 μB per formula unit. The calculation puts the density of states at the Fermi level at 9.2 states/eV/cell. The total DFT energy (no corrections) is -6.719 eV/atom.

It has space group I4_1/amd (No. 141, origin choice 2), with a = 3.341 Å, b = 3.341 Å, c = 26.697 Å, α = 90.00°, β = 90.00° and γ = 90.00°. The inequivalent atoms are Y at (0.000, 0.250, 0.314) and Co at (0.000, 0.250, 0.875).

No. 19
Material: GeIF2
Method: DFT, GGA-PBE
State: relaxed

The formation energy without anion corrections comes out at -1.313 eV/atom. As for the total magnetization: 0.00 μB per formula unit. Its polymorph energy (0 for the lowest one) is 218 meV/atom. The calculation puts the density of states at the Fermi level at 4.1 states/eV/cell. The total DFT energy (no corrections) is -3.791 eV/atom.

It has space group R-3m (No. 166, hexagonal axes), with a = 3.5036 Å, b = 3.5036 Å, c = 29.6916 Å, α = 90.00°, β = 90.00° and γ = 120.00°. The inequivalent atoms are Ge at (0.0000, 0.0000, 0.0000), I at (0.0000, 0.0000, 0.5000) and F at (0.0000, 0.0000, 0.3684).

No. 20
Material: Sm2ZnNi4P3
Method: DFT, GGA-PBE
State: relaxed

The value obtained for the energy of formation from the pure elements is -894 meV/atom. As for the total magnetization: 0.00 μB per formula unit. The calculation puts the density of states at the Fermi level at 5.6 states/eV/cell. The total DFT energy (no corrections) is -5.901 eV/atom.

It has space group P-4m2 (No. 115), with a = 3.973 Å, b = 3.973 Å, c = 9.496 Å, α = 90.00°, β = 90.00° and γ = 90.00°. The inequivalent atoms are Sm at (0.000, 0.500, 0.244), Zn at (0.000, 0.000, 0.500), Ni at (0.000, 0.000, 0.000), Ni at (0.000, 0.500, 0.633), Ni at (0.500, 0.500, 0.000), P at (0.000, 0.500, 0.870) and P at (0.500, 0.500, 0.500).